[1]
Entry from Alexandria via LeMat-Bulk: BPIr3 after structural relaxation (PBE).

abc: 4.1269 4.1269 4.1269
angles: 90.00 90.00 90.00
With the nearest neighbours (Å) after each atom.
Space group Pm-3m (No. 221)
Unique sites:
B 0.0000 0.0000 0.0000  6 Ir 2.06
P 0.5000 0.5000 0.5000  12 Ir 2.92
Ir 0.0000 0.0000 0.5000  2 B 2.06

Summary:
* DFT formation energy: 0.44 eV/atom
* calculated total energy: -7.292 eV/atom
* volume: 14.057 Å³/atom
* size of the total moment: 0.00 μB/f.u.
* distance to the lowest polymorph of the same formula: 0.000 eV/atom
* N(E_F): 0.878 states/eV/atom

=====

[2]
Entry from Alexandria via LeMat-Bulk: Ca3VBr after structural relaxation (PBE).

abc: 5.5845 5.5845 5.5845
angles: 90.00 90.00 90.00
With the nearest neighbours (Å) after each atom.
Space group Pm-3m (No. 221)
Unique sites:
Ca 0.0000 0.0000 0.5000  2 Br 2.79
V 0.5000 0.5000 0.5000  12 Ca 3.95
Br 0.0000 0.0000 0.0000  6 Ca 2.79

Summary:
* calculated total energy: -3.189 eV/atom
* volume: 34.832 Å³/atom
* size of the total moment: 4.87 μB/f.u.
* distance to the lowest polymorph of the same formula: 0.000 eV/atom
* N(E_F): 1.361 states/eV/atom

=====

[3]
Entry from Alexandria via LeMat-Bulk: Ag2BBr after structural relaxation (PBE).

abc: 6.3609 6.3609 8.1274
angles: 90.00 90.00 90.00
With the nearest neighbours (Å) after each atom.
Space group I-42d (No. 122)
Unique sites:
Ag 0.1677 0.2500 0.1250  2 B 2.17
B 0.0000 0.0000 0.0000  4 Ag 2.17
Br 0.0000 0.0000 0.5000  4 Ag 2.83

Summary:
* calculated total energy: -2.900 eV/atom
* volume: 20.552 Å³/atom
* size of the total moment: 0.00 μB/f.u.
* distance to the lowest polymorph of the same formula: 0.000 eV/atom
* N(E_F): 0.029 states/eV/atom